Record 1
## Sc4AgAs (PBE)

Data for an optimized crystal structure of Sc4AgAs.

Calculated values
The calculation puts the total energy at -31.44 eV per formula unit. The value obtained for the total magnetization is 0.00 Bohr magnetons per cell. The calculation puts the energy of formation from the pure elements at 0.231 eV/atom.

Cell: 5.7393 5.7393 5.7393 Å, 60.00 60.00 60.00°
Sites, in units of the cell vectors:
Sc: 0.8763 0.3746 0.3746
Sc: 0.3746 0.3746 0.8763
Sc: 0.3746 0.8763 0.3746
Sc: 0.3746 0.3746 0.3746
Ag: 0.7500 0.7500 0.7500
As: 0.0000 0.0000 0.0000

---

Record 2
## Sc2AgAs (PBE)

Data for an optimized crystal structure of Sc2AgAs.

Calculated values
The calculation puts the total energy at -22.45 eV per formula unit. The value obtained for the total magnetization is 0.00 Bohr magnetons per cell. The calculation puts the energy of formation from the pure elements at -0.571 eV/atom.

Cell: 5.7614 5.7614 5.7614 Å, 139.74 139.74 58.24°
Sites, in units of the cell vectors:
Ag: 0.5000 0.5000 0.0000
As: 0.7500 0.2500 0.5000
Sc: 0.0000 0.0000 0.0000
Sc: 0.2500 0.7500 0.5000

---

Record 3
## ScAgAs4 (PBE)

Data for an optimized crystal structure of ScAgAs4.

Calculated values
The calculation puts the total energy at -27.28 eV per formula unit. The value obtained for the total magnetization is 0.00 Bohr magnetons per cell. The calculation puts the energy of formation from the pure elements at 0.083 eV/atom.

Cell: 5.5439 5.5439 5.5439 Å, 60.00 60.00 60.00°
Sites, in units of the cell vectors:
Sc: 0.7500 0.7500 0.7500
Ag: 0.0000 0.0000 0.0000
As: 0.8781 0.3740 0.3740
As: 0.3740 0.3740 0.8781
As: 0.3740 0.8781 0.3740
As: 0.3740 0.3740 0.3740

---

Record 4
## ScAgAs2 (PBE)

Data for an optimized crystal structure of ScAgAs2.

Calculated values
The calculation puts the total energy at -20.13 eV per formula unit. The value obtained for the total magnetization is 0.00 Bohr magnetons per cell. The calculation puts the energy of formation from the pure elements at -0.411 eV/atom.

Cell: 3.9025 3.3201 6.3538 Å, 90.21 90.00 90.00°
Sites, in units of the cell vectors:
Ag: 0.5000 0.7500 0.7500
As: 0.0000 0.7486 0.0434
As: 0.0000 0.7514 0.4566
Sc: 0.5000 0.2500 0.2500